1.
A geometry-optimized ScWAu structure. Source: the Alexandria database, functional GGA-PBEsol.

Cell and atoms, written as POSCAR:
```
ScWAu
1.0
4.418 0.000 0.000
2.209 3.826 0.000
2.209 1.275 3.608
Au Sc W
1 1 1
Direct
0.250 0.250 0.250 Au
0.000 0.000 0.000 Sc
0.500 0.500 0.500 W
```

SG = F-43m
total DFT energy (no corrections) = -7.44 eV per atom

2.
A geometry-optimized Sr2TcTeAu structure. Source: the Alexandria database, functional GGA-PBEsol.

Cell and atoms, written as POSCAR:
```
Sr2TcTeAu
1.0
-3.834 0.299 -3.023
-1.944 -5.039 1.967
-2.994 2.743 4.068
Sr Te Au Tc
2 1 1 1
Direct
0.000 0.000 0.500 Sr
0.000 0.500 0.000 Sr
0.500 0.000 0.000 Te
0.500 0.500 0.500 Au
0.000 0.000 0.000 Tc
```

SG = P4/mmm
ΔE_f (raw) = 0.0727 eV/atom
total DFT energy (no corrections) = -4.41 eV per atom

3.
A geometry-optimized HoSi2Ru2 structure. Source: the Alexandria database, functional GGA-PBEsol.

Cell and atoms, written as POSCAR:
```
HoSi2Ru2
1.0
4.124 0.000 0.000
0.000 4.124 0.000
-2.062 -2.062 4.728
Ru Si Ho
2 2 1
Direct
0.750 0.250 0.500 Ru
0.250 0.750 0.500 Ru
0.370 0.370 0.740 Si
0.630 0.630 0.260 Si
0.000 0.000 0.000 Ho
```

SG = I4/mmm
ΔE_f (raw) = -0.9222 eV/atom
total DFT energy (no corrections) = -8.28 eV per atom

4.
A geometry-optimized Zr4Cd5 structure. Source: the Alexandria database, functional GGA-PBEsol.

Cell and atoms, written as POSCAR:
```
Zr4Cd5
1.0
-3.047 -2.162 -1.761
2.633 -2.841 -5.910
0.358 -6.563 2.593
Cd Zr
5 4
Direct
0.000 0.000 0.000 Cd
0.668 0.664 0.000 Cd
0.332 0.000 0.336 Cd
0.668 0.000 0.664 Cd
0.332 0.336 0.000 Cd
0.667 0.333 0.333 Zr
0.333 0.667 0.667 Zr
0.000 0.333 0.667 Zr
0.000 0.667 0.333 Zr
```

SG = I4/mmm
distance to the lowest polymorph of the same formula = 0 meV/atom
total DFT energy (no corrections) = -4.83 eV per atom

5.
A geometry-optimized CuAg2Ir structure. Source: the Alexandria database, functional GGA-PBEsol.

Cell and atoms, written as POSCAR:
```
CuAg2Ir
1.0
-1.633 0.165 -2.260
-2.980 -2.929 1.940
-2.255 3.545 1.889
Ag Cu Ir
2 1 1
Direct
0.000 0.000 0.500 Ag
0.000 0.500 0.000 Ag
0.500 0.500 0.500 Cu
0.500 0.000 0.000 Ir
```

SG = P4/mmm
distance to the lowest polymorph of the same formula = 87 meV/atom
total DFT energy (no corrections) = -4.80 eV per atom

6.
A geometry-optimized Zn3TeW structure. Source: the Alexandria database, functional GGA-PBEsol.

Cell and atoms, written as POSCAR:
```
Zn3TeW
1.0
-1.163 2.504 4.176
-4.431 1.235 -1.975
-2.018 -4.155 1.929
Zn Te W
3 1 1
Direct
0.000 0.500 0.000 Zn
0.000 0.000 0.500 Zn
0.500 0.000 0.000 Zn
0.000 0.000 0.000 Te
0.500 0.500 0.500 W
```

SG = Pm-3m
ΔE_f (raw) = 1.8491 eV/atom
total DFT energy (no corrections) = -2.57 eV per atom

What did we get for DOS at the Fermi energy? Answer: 4.5 3.3 2.8 6.2 2.6 3.7 states/eV per cell, in the order shown.